This record from Alexandria via LeMat-Bulk describes crystalline HoPu2ScAs4 at its relaxed geometry. The functional is PBE-GGA.

Output
VASP energy ... -8.495 eV per atom
Formation energy from the elements ... -118 kJ per mole of atoms

```
HoPu2ScAs4
1.0
4.079 0.000 0.000
0.000 7.056 0.121
0.000 -2.465 6.551
As Sc Pu Ho
4 1 2 1
Cartesian
0.000 4.631 1.674
2.039 1.195 1.644
2.039 3.396 5.028
0.000 -0.040 4.998
2.039 3.528 0.060
0.000 2.296 3.336
2.039 -1.233 3.276
0.000 0.000 0.000
```